# 1
DFT (PBE-GGA) results for a relaxed structure of Tm4PdAu2.

Output
total energy = -0.36498 Ry per atom
volume = 24.42 Å³ per atom
energy of formation = -5.13 eV per formula unit

Cell: 4.9353 4.9353 24.3119 Å, 90.00 90.00 120.00°
Space group R-3m (No. 166, hexagonal axes)
One atom of each set of equivalent atoms:
Tm 0.0000 0.0000 0.1239 [6 per cell]
Tm 0.0000 0.0000 0.3740 [6 per cell]
Pd 0.0000 0.0000 0.0000 [3 per cell]
Au 0.0000 0.0000 0.2448 [6 per cell]

=====

# 2
DFT (PBE-GGA) results for a relaxed structure of Pm5Y4Th2.

Output
total energy = -0.39541 Ry per atom
volume = 36.11 Å³ per atom
energy relative to the lowest polymorph listed for this composition = 3.92 eV/f.u.
energy of formation = 5.27 eV per formula unit

Cell: 3.440 9.297 24.844 Å, 90.00 90.00 90.00°
Space group Immm (No. 71)
One atom of each set of equivalent atoms:
Pm 0.000 0.000 0.000 [2 per cell]
Pm 0.000 0.179 0.345 [8 per cell]
Y 0.000 0.182 0.500 [4 per cell]
Y 0.000 0.500 0.261 [4 per cell]
Th 0.000 0.500 0.392 [4 per cell]